[1]
VASP calculation (GGA-PBE) on a geometry-optimized YCuSn structure.

Cell lengths 4.550, 7.305, 4.550 Å; angles 90.00, 120.00, 90.00 degrees
Atoms (fractional coordinates):
Y 0.044 0.696 0.704
Y 0.044 0.196 0.704
Sn 0.711 0.426 0.037
Sn 0.377 0.926 0.371
Cu 0.710 0.016 0.037
Cu 0.377 0.516 0.371

Magnetization in μB per formula unit: 0.0
Symmetry: P6_3mc
Fermi-level density of states in states/eV/atom: 0.12
Calculated formation energy in eV/atom: -0.619

---

[2]
VASP calculation (GGA-PBE) on a geometry-optimized YCu9Sn2 structure.

Cell lengths 5.087, 5.087, 8.658 Å; angles 72.92, 72.92, 60.00 degrees
Atoms (fractional coordinates):
Y 0.000 0.000 0.000
Cu 0.666 0.666 0.002
Cu 0.334 0.334 0.998
Cu 0.500 0.500 0.500
Cu 0.415 0.415 0.250
Cu 0.919 0.415 0.250
Cu 0.415 0.919 0.250
Cu 0.585 0.585 0.750
Cu 0.585 0.081 0.750
Cu 0.081 0.585 0.750
Sn 0.861 0.861 0.416
Sn 0.139 0.139 0.584

Magnetization in μB per formula unit: 0.0
Symmetry: R-3m
Fermi-level density of states in states/eV/atom: 0.55
Calculated formation energy in eV/atom: -0.113
E above lowest polymorph in meV/atom: 42.4

---

[3]
VASP calculation (GGA-PBE) on a geometry-optimized YCuSn structure.

Cell lengths 4.434, 4.435, 6.812 Å; angles 90.08, 90.00, 90.00 degrees
Atoms (fractional coordinates):
Y 0.592 0.911 0.581
Y 0.092 0.411 0.174
Sn 0.592 0.911 0.113
Sn 0.092 0.411 0.642
Cu 0.092 0.911 0.878
Cu 0.592 0.411 0.878

Magnetization in μB per formula unit: 0.0
Symmetry: P2_1/m
Fermi-level density of states in states/eV/atom: 0.30
Calculated formation energy in eV/atom: -0.582

---

[4]
VASP calculation (GGA-PBE) on a geometry-optimized Y2CuSn structure.

Cell lengths 3.585, 3.585, 7.461 Å; angles 90.00, 90.00, 90.00 degrees
Atoms (fractional coordinates):
Y 0.000 0.000 0.772
Y 0.000 0.000 0.228
Sn 0.500 0.500 0.500
Cu 0.500 0.500 0.000

Magnetization in μB per formula unit: 0.0
Symmetry: P4/mmm
Fermi-level density of states in states/eV/atom: 0.77
Calculated formation energy in eV/atom: -0.442

---

[5]
VASP calculation (GGA-PBE) on a geometry-optimized Y2Cu2Sn structure.

Cell lengths 5.508, 5.508, 5.448 Å; angles 59.64, 59.64, 90.00 degrees
Atoms (fractional coordinates):
Y 0.750 0.250 0.500
Y 0.250 0.750 0.500
Sn 0.000 0.000 0.000
Cu 0.353 0.353 0.294
Cu 0.647 0.647 0.706

Magnetization in μB per formula unit: 0.0
Symmetry: I4/mmm
Fermi-level density of states in states/eV/atom: 0.67
Calculated formation energy in eV/atom: -0.185

---

[6]
VASP calculation (GGA-PBE) on a geometry-optimized YCu6Sn6 structure.

Cell lengths 5.587, 7.217, 7.217 Å; angles 77.47, 67.23, 67.23 degrees
Atoms (fractional coordinates):
Y 0.000 0.000 0.000
Cu 0.000 0.500 0.000
Cu 0.500 0.500 0.000
Cu 0.000 0.000 0.500
Cu 0.500 0.000 0.500
Cu 0.500 0.750 0.250
Cu 0.500 0.250 0.750
Sn 0.333 0.667 0.667
Sn 0.667 0.333 0.333
Sn 0.000 0.339 0.661
Sn 0.000 0.661 0.339
Sn 0.336 0.164 0.164
Sn 0.664 0.836 0.836

Magnetization in μB per formula unit: 0.0
Symmetry: Immm
Fermi-level density of states in states/eV/atom: 0.26
Calculated formation energy in eV/atom: -0.085

---

[7]
VASP calculation (GGA-PBE) on a geometry-optimized Y6Cu2Sn structure.

Cell lengths 8.566, 8.566, 8.566 Å; angles 105.48, 109.70, 113.33 degrees
Atoms (fractional coordinates):
Y 0.529 0.714 0.814
Y 0.471 0.286 0.186
Y 0.100 0.286 0.814
Y 0.900 0.714 0.186
Y 0.802 0.765 0.567
Y 0.198 0.235 0.433
Y 0.198 0.765 0.963
Y 0.802 0.235 0.037
Y 0.692 0.370 0.678
Y 0.308 0.630 0.322
Y 0.308 0.986 0.678
Y 0.692 0.014 0.322
Cu 0.500 0.382 0.882
Cu 0.500 0.618 0.118
Cu 0.650 0.000 0.650
Cu 0.350 0.000 0.350
Sn 0.000 0.500 0.500
Sn 0.000 0.000 0.000

Magnetization in μB per formula unit: 0.0
Symmetry: Immm
Fermi-level density of states in states/eV/atom: 0.84
Calculated formation energy in eV/atom: -0.311

---

[8]
VASP calculation (GGA-PBE) on a geometry-optimized Y2CuSn structure.

Cell lengths 4.697, 4.697, 10.701 Å; angles 77.32, 77.32, 90.00 degrees
Atoms (fractional coordinates):
Y 0.624 0.125 0.250
Y 0.126 0.625 0.250
Y 0.375 0.376 0.750
Y 0.875 0.874 0.750
Sn 0.000 0.000 0.000
Sn 0.750 0.250 0.500
Cu 0.500 0.500 0.000
Cu 0.250 0.750 0.500

Magnetization in μB per formula unit: 0.0
Symmetry: I-42d
Fermi-level density of states in states/eV/atom: 1.17
Calculated formation energy in eV/atom: 0.228

---

[9]
VASP calculation (GGA-PBE) on a geometry-optimized YCu9Sn2 structure.

Cell lengths 4.994, 8.484, 8.484 Å; angles 90.00, 90.00, 90.00 degrees
Atoms (fractional coordinates):
Y 0.000 0.500 0.500
Y 0.000 0.000 0.000
Cu 0.500 0.500 0.000
Cu 0.500 0.000 0.500
Cu 0.500 0.702 0.565
Cu 0.500 0.298 0.435
Cu 0.500 0.202 0.935
Cu 0.500 0.798 0.065
Cu 0.500 0.435 0.702
Cu 0.500 0.565 0.298
Cu 0.500 0.065 0.202
Cu 0.500 0.935 0.798
Cu 0.754 0.827 0.327
Cu 0.754 0.173 0.673
Cu 0.754 0.327 0.173
Cu 0.754 0.673 0.827
Cu 0.246 0.173 0.673
Cu 0.246 0.827 0.327
Cu 0.246 0.673 0.827
Cu 0.246 0.327 0.173
Sn 0.000 0.630 0.130
Sn 0.000 0.370 0.870
Sn 0.000 0.130 0.370
Sn 0.000 0.870 0.630

Magnetization in μB per formula unit: 0.0
Symmetry: P4/mbm
Fermi-level density of states in states/eV/atom: 0.31
Calculated formation energy in eV/atom: -0.155
E above lowest polymorph in meV/atom: 0.0

---

[10]
VASP calculation (GGA-PBE) on a geometry-optimized YCuSn structure.

Cell lengths 3.736, 3.736, 12.082 Å; angles 81.11, 81.11, 60.00 degrees
Atoms (fractional coordinates):
Cu 0.753 0.753 0.742
Cu 0.120 0.120 0.639
Sn 0.630 0.630 0.109
Sn 0.831 0.831 0.506
Y 0.231 0.231 0.307
Y 0.032 0.032 0.905

Magnetization in μB per formula unit: 0.0
Symmetry: R3m
Fermi-level density of states in states/eV/atom: 0.67
Calculated formation energy in eV/atom: -0.173

---

[11]
VASP calculation (GGA-PBE) on a geometry-optimized Y3Cu8Sn structure.

Cell lengths 5.212, 5.212, 9.066 Å; angles 73.30, 73.30, 60.00 degrees
Atoms (fractional coordinates):
Y 0.377 0.377 0.868
Y 0.996 0.996 0.012
Y 0.502 0.502 0.493
Cu 0.943 0.437 0.184
Cu 0.436 0.938 0.689
Cu 0.437 0.437 0.184
Cu 0.938 0.938 0.689
Cu 0.188 0.188 0.437
Cu 0.688 0.688 0.937
Cu 0.437 0.943 0.184
Cu 0.938 0.436 0.689
Sn 0.872 0.872 0.384

Magnetization in μB per formula unit: 0.0
Symmetry: R3m
Fermi-level density of states in states/eV/atom: 0.59
Calculated formation energy in eV/atom: -0.209

---

[12]
VASP calculation (GGA-PBE) on a geometry-optimized YCuSn structure.

Cell lengths 4.288, 6.012, 5.909 Å; angles 89.26, 111.18, 69.09 degrees
Atoms (fractional coordinates):
Y 0.582 0.471 0.844
Y 0.102 0.834 0.245
Sn 0.408 0.263 0.286
Sn 0.276 0.042 0.802
Cu 0.792 0.844 0.635
Cu 0.892 0.461 0.453

Magnetization in μB per formula unit: 0.0
Symmetry: P-1
Fermi-level density of states in states/eV/atom: 0.67
Calculated formation energy in eV/atom: -0.517